# K2BaNa4 PBE relaxed
data_K2BaNa4
_space_group_name_H-M_alt 'C m m m'
_space_group_IT_number 65
_space_group_name_Hall '-C 2 2'
_cell_length_a 4.523
_cell_length_b 36.702
_cell_length_c 4.333
_cell_angle_alpha 90.00
_cell_angle_beta 90.00
_cell_angle_gamma 90.00
loop_
_atom_site_label
_atom_site_fract_x
_atom_site_fract_y
_atom_site_fract_z
K1 0.000 0.195 0.000
Ba1 0.000 0.500 0.500
Na1 0.000 0.072 0.000
Na2 0.000 0.380 0.500
# * DOS at the Fermi energy: 5.6 states/eV/f.u.
# * DFT total energy: -1.32 eV per atom
# * E_form: 0.6 kcal/mol of atoms